[1]
## ScMoWBr2 (GGA-PBEsol)

Data for a relaxed structure of ScMoWBr2.

CIF file:
```
data_ScMoWBr2
_chemical_formula_sum 'Sc1 Mo1 W1 Br2'
_cell_length_a 4.788
_cell_length_b 4.788
_cell_length_c 5.380
_cell_angle_alpha 90.00
_cell_angle_beta 90.00
_cell_angle_gamma 90.00
_symmetry_space_group_name_H-M 'P 4/m m m'
_symmetry_Int_Tables_number 123
_symmetry_space_group_name_Hall '-P 4 2'
loop_
_atom_site_label
_atom_site_fract_x
_atom_site_fract_y
_atom_site_fract_z
Sc1 0.000 0.000 0.000
Mo1 0.000 0.000 0.500
W1 0.500 0.500 0.000
Br1 0.000 0.500 0.500
```

final energy: -5.637 eV per atom
total magnetization: 4.4 μB/cell
energy relative to the elements, uncorrected: 1547 meV/atom

***

[2]
## Ag3As (GGA-PBEsol)

Data for a relaxed structure of Ag3As.

CIF file:
```
data_Ag3As
_chemical_formula_sum 'Ag6 As2'
_cell_length_a 5.8016
_cell_length_b 5.8016
_cell_length_c 4.6631
_cell_angle_alpha 90.00
_cell_angle_beta 90.00
_cell_angle_gamma 120.00
_symmetry_space_group_name_H-M 'P 63/m m c'
_symmetry_Int_Tables_number 194
_symmetry_space_group_name_Hall '-P 6c 2c'
loop_
_atom_site_label
_atom_site_fract_x
_atom_site_fract_y
_atom_site_fract_z
Ag1 0.1659 0.3318 0.2500
As1 0.3333 0.6667 0.7500
```

E_form: 0.0758 eV per atom
final energy: -3.684 eV per atom
total magnetization: 0.0 μB/cell

***

[3]
## CuSi2Hg2 (GGA-PBEsol)

Data for a relaxed structure of CuSi2Hg2.

CIF file:
```
data_CuSi2Hg2
_chemical_formula_sum 'Cu2 Si4 Hg4'
_cell_length_a 3.376
_cell_length_b 3.376
_cell_length_c 15.984
_cell_angle_alpha 90.00
_cell_angle_beta 90.00
_cell_angle_gamma 90.00
_symmetry_space_group_name_H-M 'I 4/m m m'
_symmetry_Int_Tables_number 139
_symmetry_space_group_name_Hall '-I 4 2'
loop_
_atom_site_label
_atom_site_fract_x
_atom_site_fract_y
_atom_site_fract_z
Cu1 0.000 0.000 0.000
Si1 0.000 0.500 0.250
Hg1 0.000 0.000 0.407
```

final energy: -3.064 eV per atom
total magnetization: 0.0 μB/cell
energy relative to the elements, uncorrected: 329 meV/atom

***

[4]
## Zn3NiH (GGA-PBEsol)

Data for a relaxed structure of Zn3NiH.

CIF file:
```
data_Zn3NiH
_chemical_formula_sum 'Zn3 Ni1 H1'
_cell_length_a 3.768
_cell_length_b 3.768
_cell_length_c 3.768
_cell_angle_alpha 90.00
_cell_angle_beta 90.00
_cell_angle_gamma 90.00
_symmetry_space_group_name_H-M 'P m -3 m'
_symmetry_Int_Tables_number 221
_symmetry_space_group_name_Hall '-P 4 2 3'
loop_
_atom_site_label
_atom_site_fract_x
_atom_site_fract_y
_atom_site_fract_z
Zn1 0.000 0.000 0.500
Ni1 0.500 0.500 0.500
H1 0.000 0.000 0.000
```

final energy: -2.729 eV per atom
total magnetization: 0.0 μB/cell

***

[5]
## LiBi3S (GGA-PBEsol)

Data for a relaxed structure of LiBi3S.

CIF file:
```
data_LiBi3S
_chemical_formula_sum 'Li1 Bi3 S1'
_cell_length_a 5.373
_cell_length_b 5.373
_cell_length_c 5.373
_cell_angle_alpha 90.00
_cell_angle_beta 90.00
_cell_angle_gamma 90.00
_symmetry_space_group_name_H-M 'P m -3 m'
_symmetry_Int_Tables_number 221
_symmetry_space_group_name_Hall '-P 4 2 3'
loop_
_atom_site_label
_atom_site_fract_x
_atom_site_fract_y
_atom_site_fract_z
Li1 0.000 0.000 0.000
Bi1 0.000 0.500 0.500
S1 0.500 0.500 0.500
```

final energy: -3.624 eV per atom
total magnetization: 0.0 μB/cell
energy relative to the elements, uncorrected: 217 meV/atom

***

[6]
## AcSnHg2 (GGA-PBEsol)

Data for a relaxed structure of AcSnHg2.

CIF file:
```
data_AcSnHg2
_chemical_formula_sum 'Ac4 Sn4 Hg8'
_cell_length_a 7.538
_cell_length_b 7.538
_cell_length_c 7.538
_cell_angle_alpha 90.00
_cell_angle_beta 90.00
_cell_angle_gamma 90.00
_symmetry_space_group_name_H-M 'F m -3 m'
_symmetry_Int_Tables_number 225
_symmetry_space_group_name_Hall '-F 4 2 3'
loop_
_atom_site_label
_atom_site_fract_x
_atom_site_fract_y
_atom_site_fract_z
Ac1 0.000 0.000 0.000
Sn1 0.000 0.000 0.500
Hg1 0.250 0.250 0.250
```

E_form: -0.5140 eV per atom
final energy: -2.988 eV per atom
total magnetization: 0.0 μB/cell

***

[7]
## NaPt (GGA-PBEsol)

Data for a relaxed structure of NaPt.

CIF file:
```
data_NaPt
_chemical_formula_sum 'Na1 Pt1'
_cell_length_a 2.7839
_cell_length_b 2.7839
_cell_length_c 4.8699
_cell_angle_alpha 90.00
_cell_angle_beta 90.00
_cell_angle_gamma 120.00
_symmetry_space_group_name_H-M 'P -6 m 2'
_symmetry_Int_Tables_number 187
_symmetry_space_group_name_Hall 'P -6 2'
loop_
_atom_site_label
_atom_site_fract_x
_atom_site_fract_y
_atom_site_fract_z
Na1 0.0000 0.0000 0.0000
Pt1 0.6667 0.3333 0.5000
```

E_form: -0.1200 eV per atom
final energy: -4.302 eV per atom
total magnetization: 0.0 μB/cell

***

[8]
## MnBe4 (GGA-PBEsol)

Data for a relaxed structure of MnBe4.

CIF file:
```
data_MnBe4
_chemical_formula_sum 'Mn2 Be8'
_cell_length_a 4.983
_cell_length_b 4.983
_cell_length_c 4.983
_cell_angle_alpha 90.00
_cell_angle_beta 90.00
_cell_angle_gamma 90.00
_symmetry_space_group_name_H-M 'I m -3 m'
_symmetry_Int_Tables_number 229
_symmetry_space_group_name_Hall '-I 4 2 3'
loop_
_atom_site_label
_atom_site_fract_x
_atom_site_fract_y
_atom_site_fract_z
Mn1 0.000 0.000 0.000
Be1 0.250 0.250 0.250
```

E_form: 0.9544 eV per atom
final energy: -4.198 eV per atom
total magnetization: 5.0 μB/cell
energy above the most stable polymorph in this dataset: 3.92 eV/f.u.

***

[9]
## Cs3TaI (GGA-PBEsol)

Data for a relaxed structure of Cs3TaI.

CIF file:
```
data_Cs3TaI
_chemical_formula_sum 'Cs3 Ta1 I1'
_cell_length_a 7.022
_cell_length_b 7.022
_cell_length_c 7.022
_cell_angle_alpha 90.00
_cell_angle_beta 90.00
_cell_angle_gamma 90.00
_symmetry_space_group_name_H-M 'P m -3 m'
_symmetry_Int_Tables_number 221
_symmetry_space_group_name_Hall '-P 4 2 3'
loop_
_atom_site_label
_atom_site_fract_x
_atom_site_fract_y
_atom_site_fract_z
Cs1 0.000 0.000 0.500
Ta1 0.500 0.500 0.500
I1 0.000 0.000 0.000
```

final energy: -2.603 eV per atom
total magnetization: 5.0 μB/cell
energy relative to the elements, uncorrected: 827 meV/atom

***

[10]
## BaLiHg2 (GGA-PBEsol)

Data for a relaxed structure of BaLiHg2.

CIF file:
```
data_BaLiHg2
_chemical_formula_sum 'Ba3 Li3 Hg6'
_cell_length_a 4.7800
_cell_length_b 4.7800
_cell_length_c 17.1664
_cell_angle_alpha 90.00
_cell_angle_beta 90.00
_cell_angle_gamma 120.00
_symmetry_space_group_name_H-M 'R 3 m'
_symmetry_Int_Tables_number 160
_symmetry_space_group_name_Hall 'R 3 -2"'
loop_
_atom_site_label
_atom_site_fract_x
_atom_site_fract_y
_atom_site_fract_z
Ba1 0.0000 0.0000 0.0000
Li1 0.0000 0.0000 0.1919
Hg1 0.0000 0.0000 0.5332
Hg2 0.0000 0.0000 0.7991
```

E_form: -0.4207 eV per atom
final energy: -1.733 eV per atom
total magnetization: 0.0 μB/cell

***

[11]
## La2YTl (GGA-PBEsol)

Data for a relaxed structure of La2YTl.

CIF file:
```
data_La2YTl
_chemical_formula_sum 'La2 Y1 Tl1'
_cell_length_a 3.569
_cell_length_b 4.591
_cell_length_c 7.114
_cell_angle_alpha 90.00
_cell_angle_beta 90.00
_cell_angle_gamma 90.00
_symmetry_space_group_name_H-M 'P m m 2'
_symmetry_Int_Tables_number 25
loop_
_symmetry_equiv_pos_as_xyz
'x,y,z'
'-x,-y,z'
'-x,y,z'
'x,-y,z'
loop_
_atom_site_label
_atom_site_fract_x
_atom_site_fract_y
_atom_site_fract_z
La1 0.000 0.000 0.000
La2 0.500 0.500 0.237
Y1 0.500 0.500 0.709
Tl1 0.000 0.000 0.498
```

E_form: -0.2207 eV per atom
final energy: -5.257 eV per atom
total magnetization: 0.0 μB/cell
energy above the most stable polymorph in this dataset: 0.13 eV/f.u.

***

[12]
## La2AgO2 (GGA-PBEsol)

Data for a relaxed structure of La2AgO2.

CIF file:
```
data_La2AgO2
_chemical_formula_sum 'La4 Ag2 O4'
_cell_length_a 4.080
_cell_length_b 4.080
_cell_length_c 12.697
_cell_angle_alpha 90.00
_cell_angle_beta 90.00
_cell_angle_gamma 90.00
_symmetry_space_group_name_H-M 'I 4/m m m'
_symmetry_Int_Tables_number 139
_symmetry_space_group_name_Hall '-I 4 2'
loop_
_atom_site_label
_atom_site_fract_x
_atom_site_fract_y
_atom_site_fract_z
La1 0.000 0.000 0.157
Ag1 0.000 0.000 0.500
O1 0.000 0.500 0.250
```

final energy: -7.271 eV per atom
total magnetization: 0.0 μB/cell
energy relative to the elements, uncorrected: -2371 meV/atom